The following is a DFT calculation (GGA-PBE) of an optimized crystal structure of TbPa3Pt6.

The structure in CIF format:
```
data_TbPa3Pt6
_cell_length_a 10.399
_cell_length_b 3.989
_cell_length_c 11.439
_cell_angle_alpha 90.00
_cell_angle_beta 113.06
_cell_angle_gamma 90.00
_symmetry_space_group_name_H-M 'P 1'
_symmetry_Int_Tables_number 1
_symmetry_space_group_name_Hall 'P 1'
loop_
_atom_site_label
_atom_site_fract_x
_atom_site_fract_y
_atom_site_fract_z
_atom_site_occupancy
Tb1 0.215 0.250 0.330 1
Tb2 0.785 0.750 0.670 1
Pa1 0.194 0.750 0.923 1
Pa2 0.228 0.250 0.650 1
Pa3 0.439 0.250 0.180 1
Pa4 0.561 0.750 0.820 1
Pa5 0.772 0.750 0.350 1
Pa6 0.806 0.250 0.077 1
Pt1 0.015 0.250 0.771 1
Pt2 0.020 0.750 0.594 1
Pt3 0.120 0.250 0.057 1
Pt4 0.351 0.750 0.556 1
Pt5 0.417 0.250 0.910 1
Pt6 0.438 0.750 0.353 1
Pt7 0.562 0.250 0.647 1
Pt8 0.583 0.750 0.090 1
Pt9 0.649 0.250 0.444 1
Pt10 0.880 0.750 0.943 1
Pt11 0.980 0.250 0.406 1
Pt12 0.985 0.750 0.229 1
```

Computed properties:
Fermi-level density of states: 0.99 states/eV per atom
ρ: 15.39 Mg/m³
energy: -7.827 eV/atom
spin magnetization: 0.00 μB per atom


The following is a DFT calculation (GGA-PBE) of an optimized crystal structure of Tb2PaPt3.

The structure in CIF format:
```
data_Tb2PaPt3
_cell_length_a 13.515
_cell_length_b 12.888
_cell_length_c 7.077
_cell_angle_alpha 79.41
_cell_angle_beta 69.61
_cell_angle_gamma 30.98
_symmetry_space_group_name_H-M 'P 1'
_symmetry_Int_Tables_number 1
_symmetry_space_group_name_Hall 'P 1'
loop_
_atom_site_label
_atom_site_fract_x
_atom_site_fract_y
_atom_site_fract_z
_atom_site_occupancy
Tb1 0.042 0.042 0.208 1
Tb2 0.125 0.125 0.625 1
Tb3 0.208 0.208 0.042 1
Tb4 0.375 0.375 0.875 1
Tb5 0.625 0.625 0.125 1
Tb6 0.792 0.792 0.958 1
Tb7 0.875 0.875 0.375 1
Tb8 0.958 0.958 0.792 1
Pa1 0.292 0.292 0.458 1
Pa2 0.458 0.458 0.292 1
Pa3 0.542 0.542 0.708 1
Pa4 0.708 0.708 0.542 1
Pt1 0.040 0.538 0.221 1
Pt2 0.137 0.613 0.613 1
Pt3 0.221 0.701 0.040 1
Pt4 0.299 0.779 0.462 1
Pt5 0.387 0.863 0.863 1
Pt6 0.462 0.960 0.299 1
Pt7 0.538 0.040 0.701 1
Pt8 0.613 0.137 0.137 1
Pt9 0.701 0.221 0.538 1
Pt10 0.779 0.299 0.960 1
Pt11 0.863 0.387 0.387 1
Pt12 0.960 0.462 0.779 1
```

Computed properties:
Fermi-level density of states: 0.48 states/eV per atom
ρ: 13.04 Mg/m³
distance to the lowest polymorph of the same formula: 0.0 meV per atom
energy: -7.244 eV/atom
spin magnetization: 0.00 μB per atom


The following is a DFT calculation (GGA-PBE) of an optimized crystal structure of TbPaPt.

The structure in CIF format:
```
data_TbPaPt
_cell_length_a 6.877
_cell_length_b 6.877
_cell_length_c 6.877
_cell_angle_alpha 90.00
_cell_angle_beta 90.00
_cell_angle_gamma 90.00
_symmetry_space_group_name_H-M 'P 1'
_symmetry_Int_Tables_number 1
_symmetry_space_group_name_Hall 'P 1'
loop_
_atom_site_label
_atom_site_fract_x
_atom_site_fract_y
_atom_site_fract_z
_atom_site_occupancy
Tb1 0.000 0.000 0.000 1
Tb2 0.000 0.500 0.500 1
Tb3 0.500 0.000 0.500 1
Tb4 0.500 0.500 0.000 1
Pa1 0.000 0.000 0.500 1
Pa2 0.000 0.500 0.000 1
Pa3 0.500 0.000 0.000 1
Pa4 0.500 0.500 0.500 1
Pt1 0.250 0.250 0.250 1
Pt2 0.250 0.750 0.750 1
Pt3 0.750 0.250 0.750 1
Pt4 0.750 0.750 0.250 1
```

Computed properties:
Fermi-level density of states: 2.40 states/eV per atom
ρ: 11.95 Mg/m³
distance to the lowest polymorph of the same formula: 196.0 meV per atom
energy: -7.094 eV/atom
spin magnetization: 0.36 μB per atom


The following is a DFT calculation (GGA-PBE) of an optimized crystal structure of Tb2PaPt3.

The structure in CIF format:
```
data_Tb2PaPt3
_cell_length_a 7.096
_cell_length_b 7.096
_cell_length_c 8.113
_cell_angle_alpha 106.62
_cell_angle_beta 106.62
_cell_angle_gamma 48.06
_symmetry_space_group_name_H-M 'P 1'
_symmetry_Int_Tables_number 1
_symmetry_space_group_name_Hall 'P 1'
loop_
_atom_site_label
_atom_site_fract_x
_atom_site_fract_y
_atom_site_fract_z
_atom_site_occupancy
Tb1 0.164 0.167 0.083 1
Tb2 0.167 0.164 0.583 1
Tb3 0.833 0.836 0.417 1
Tb4 0.836 0.833 0.917 1
Pa1 0.499 0.501 0.750 1
Pa2 0.501 0.499 0.250 1
Pt1 0.001 0.999 0.250 1
Pt2 0.341 0.343 0.421 1
Pt3 0.343 0.341 0.921 1
Pt4 0.657 0.659 0.079 1
Pt5 0.659 0.657 0.579 1
Pt6 0.999 0.001 0.750 1
```

Computed properties:
Fermi-level density of states: 0.46 states/eV per atom
ρ: 13.05 Mg/m³
distance to the lowest polymorph of the same formula: 11.4 meV per atom
energy: -7.233 eV/atom
spin magnetization: 0.00 μB per atom


The following is a DFT calculation (GGA-PBE) of an optimized crystal structure of TbPaPt.

The structure in CIF format:
```
data_TbPaPt
_cell_length_a 4.767
_cell_length_b 4.767
_cell_length_c 3.539
_cell_angle_alpha 90.00
_cell_angle_beta 90.00
_cell_angle_gamma 120.00
_symmetry_space_group_name_H-M 'P 1'
_symmetry_Int_Tables_number 1
_symmetry_space_group_name_Hall 'P 1'
loop_
_atom_site_label
_atom_site_fract_x
_atom_site_fract_y
_atom_site_fract_z
_atom_site_occupancy
Tb1 0.000 0.000 0.000 1
Pa1 0.333 0.667 0.378 1
Pt1 0.667 0.333 0.623 1
```

Computed properties:
Fermi-level density of states: 1.03 states/eV per atom
ρ: 13.95 Mg/m³
distance to the lowest polymorph of the same formula: 219.8 meV per atom
energy: -7.070 eV/atom
spin magnetization: 0.00 μB per atom


The following is a DFT calculation (GGA-PBE) of an optimized crystal structure of TbPaTcPt.

The structure in CIF format:
```
data_TbPaTcPt
_cell_length_a 6.944
_cell_length_b 6.944
_cell_length_c 6.944
_cell_angle_alpha 90.00
_cell_angle_beta 90.00
_cell_angle_gamma 90.00
_symmetry_space_group_name_H-M 'P 1'
_symmetry_Int_Tables_number 1
_symmetry_space_group_name_Hall 'P 1'
loop_
_atom_site_label
_atom_site_fract_x
_atom_site_fract_y
_atom_site_fract_z
_atom_site_occupancy
Tb1 0.000 0.000 0.000 1
Tb2 0.000 0.500 0.500 1
Tb3 0.500 0.000 0.500 1
Tb4 0.500 0.500 0.000 1
Pa1 0.000 0.000 0.500 1
Pa2 0.000 0.500 0.000 1
Pa3 0.500 0.000 0.000 1
Pa4 0.500 0.500 0.500 1
Tc1 0.250 0.250 0.250 1
Tc2 0.250 0.750 0.750 1
Tc3 0.750 0.250 0.750 1
Tc4 0.750 0.750 0.250 1
Pt1 0.250 0.250 0.750 1
Pt2 0.250 0.750 0.250 1
Pt3 0.750 0.250 0.250 1
Pt4 0.750 0.750 0.750 1
```

Computed properties:
Fermi-level density of states: 0.98 states/eV per atom
ρ: 13.55 Mg/m³
energy: -8.125 eV/atom
spin magnetization: 0.00 μB per atom


The highest ρ belongs to which entry? TbPa3Pt6


Which of these has the highest energy? number 5